This record from Alexandria via LeMat-Bulk describes LaMo3O after structural relaxation. The functional is GGA+U.

The raw total energy is -27.8 eV/cell. Its crystal system is cubic. The density of states at the Fermi level comes out at 3.35 states/eV/cell.

It has space group Pm-3m (No. 221), with a = 4.644 Å, b = 4.644 Å, c = 4.644 Å, α = 90.00°, β = 90.00° and γ = 90.00°. The distinct sites, in fractional coordinates, are La at (0.000, 0.000, 0.000), Mo at (0.000, 0.500, 0.500) and O at (0.500, 0.500, 0.500).